# 1
A relaxed K2NbTl crystal, computed with PBEsol.

energy of formation: 1.2052 eV per atom
SG: No. 225

```
K2NbTl
1.0
-3.533 3.056 -3.409
-5.222 -2.081 -1.360
-4.753 2.444 2.211
Nb K Tl
1 2 1
Cartesian
0.000 0.000 0.000
-10.131 2.564 -1.919
-3.377 0.855 -0.640
-6.754 1.709 -1.279
```

# 2
A relaxed K3NbZn crystal, computed with PBEsol.

energy of formation: 1.3559 eV per atom
SG: No. 221

```
K3NbZn
1.0
-4.652 4.804 0.366
-3.624 -3.825 4.134
3.174 2.674 5.256
K Zn Nb
3 1 1
Cartesian
1.587 1.337 2.628
-1.812 -1.912 2.067
-2.326 2.402 0.183
-2.551 1.827 4.878
0.000 0.000 0.000
```

# 3
A relaxed K2ZrNb crystal, computed with PBEsol.

energy of formation: 1.9854 eV per atom
SG: No. 225

```
K2ZrNb
1.0
-2.712 -4.798 0.587
0.819 -4.108 -3.629
2.741 -4.561 1.550
Nb K Zr
1 2 1
Cartesian
0.424 -6.734 -0.746
0.636 -10.100 -1.120
0.212 -3.367 -0.373
0.000 0.000 0.000
```

# 4
A relaxed KZrNb3 crystal, computed with PBEsol.

energy of formation: 1.8012 eV per atom
SG: No. 221

```
KZrNb3
1.0
5.034 0.000 0.000
0.000 5.034 0.000
0.000 0.000 5.034
Zr Nb K
1 3 1
Cartesian
0.000 0.000 0.000
0.000 0.000 2.517
2.517 0.000 0.000
0.000 2.517 0.000
2.517 2.517 2.517
```

# 5
A relaxed K2NdP5O15 crystal, computed with PBEsol.

SG: No. 9
ΔE_f (raw): -55.73 eV/f.u.

```
K2NdP5O15
1.0
-4.558 3.394 4.343
-2.849 -6.339 -1.688
6.111 -5.429 10.494
O Nd P K
30 2 10 4
Cartesian
-0.215 -4.882 2.425
0.558 -2.695 3.516
3.284 -4.582 11.862
3.461 -4.541 9.301
-0.474 -4.004 11.454
-5.944 -1.755 4.188
-3.057 -1.419 2.559
-3.926 -3.848 4.691
0.169 -6.302 12.379
-2.421 -7.132 7.785
1.391 -5.377 10.390
-3.628 1.909 5.183
3.083 -8.676 9.734
1.508 -2.556 13.493
0.857 -8.945 5.387
-0.944 0.015 2.749
-1.047 -7.404 5.752
-1.593 -1.128 0.553
-2.554 -5.480 5.959
-0.933 -6.207 10.159
-2.741 -5.780 3.425
-5.009 0.479 3.708
-0.172 -7.673 3.394
0.173 -5.128 7.190
2.579 -5.363 6.346
-1.461 -3.817 4.428
-0.763 -1.457 7.278
0.773 -4.965 4.695
2.010 -2.872 10.599
1.337 -3.128 6.243
-1.476 -6.794 1.497
0.188 -1.582 11.655
-0.357 -8.384 4.703
2.563 -4.257 10.462
-1.699 -3.899 -0.905
-4.754 1.975 4.192
-0.072 -5.398 11.083
-2.760 -4.778 4.538
0.323 -0.730 7.987
-2.092 -0.492 1.922
1.228 -4.714 6.235
-0.052 -4.052 3.660
-1.819 -3.902 8.348
-4.479 -3.435 1.709
1.205 -7.473 8.091
-2.513 -0.982 5.184
```

# 6
A relaxed KNdP4O12 crystal, computed with PBEsol.

SG: No. 4
ΔE_f (raw): -44.48 eV/f.u.

```
KNdP4O12
1.0
-0.322 -6.456 3.421
-0.381 -3.507 -7.200
8.443 -0.523 -0.192
P O Nd K
8 24 2 2
Cartesian
4.752 -7.152 -4.684
4.510 -8.935 -1.148
0.880 -3.203 0.760
2.709 -1.182 -0.464
8.073 -5.911 -0.933
6.371 -9.386 -3.538
0.700 -1.393 -2.766
3.850 -4.833 -3.133
6.037 -7.929 -4.112
2.224 -2.588 0.129
3.806 -3.662 -4.229
5.726 -2.206 -3.397
7.758 -9.313 -2.987
0.065 -5.965 -2.049
6.812 -5.112 -0.862
4.050 -1.423 -1.077
6.405 -6.915 2.637
7.934 -7.071 0.166
0.855 -4.531 -0.141
5.382 -3.301 1.080
0.769 -7.086 -5.016
4.932 -5.833 -3.786
3.715 -7.776 -1.665
8.235 -2.970 -2.402
1.178 -8.227 -0.555
2.498 -5.470 -3.145
4.412 -4.318 -1.848
8.158 -2.811 0.357
1.341 -7.263 1.788
5.663 -3.176 -5.743
2.158 -3.621 -6.627
3.493 -7.916 -4.417
1.574 -7.716 -2.884
6.161 -2.769 -1.087
4.455 -6.006 0.371
0.216 -4.289 -4.272
```

# 7
A relaxed KNdP4O12 crystal, computed with PBEsol.

SG: No. 15
ΔE_f (raw): -44.45 eV/f.u.

```
KNdP4O12
1.0
7.399 0.012 -0.003
-3.165 6.688 -0.003
-1.989 -3.148 9.974
P O K Nd
8 24 2 2
Cartesian
1.417 1.680 9.412
-1.489 1.638 9.970
1.904 3.575 4.425
3.734 1.914 -0.003
-0.868 2.621 4.984
0.828 1.872 0.556
3.113 0.932 4.983
0.341 -0.023 5.543
-1.519 3.558 5.955
-0.154 1.437 9.118
0.312 3.459 4.262
1.996 0.193 9.249
2.399 2.116 0.849
0.276 1.075 1.682
-1.671 2.059 3.850
0.249 3.360 0.718
2.240 3.923 5.845
-0.113 1.501 5.837
0.662 5.752 1.130
-2.615 1.824 9.000
1.933 0.093 5.706
3.577 5.280 0.858
1.583 -2.200 8.837
1.969 2.477 8.285
3.917 1.493 6.117
0.005 -0.370 4.122
3.764 -0.006 4.013
2.387 4.416 3.298
-0.142 -0.863 6.670
4.860 1.729 0.968
2.359 2.051 4.131
-1.331 -1.728 9.109
3.949 -1.111 7.477
-1.704 4.664 2.490
-3.391 3.527 7.477
5.636 0.025 2.490
```

# 8
A relaxed KNdS2O8 crystal, computed with PBEsol.

relative energy among the computed polymorphs: 0 meV/atom
SG: No. 14
ΔE_f (raw): -25.64 eV/f.u.

```
KNdS2O8
1.0
7.154 0.000 0.000
0.000 8.575 0.009
0.000 -0.475 10.632
K S O Nd
4 8 32 4
Cartesian
1.061 4.671 3.664
2.516 4.434 8.979
4.638 3.666 1.662
6.093 3.429 6.978
1.183 6.698 6.485
6.026 5.776 9.677
5.971 1.402 4.156
4.760 1.164 9.472
1.128 2.324 0.964
4.705 6.013 4.361
2.449 2.087 6.280
2.394 6.936 1.169
2.558 5.497 1.139
3.977 7.309 4.668
5.358 5.711 5.667
0.400 1.029 0.657
2.383 7.071 7.337
1.781 2.151 10.290
5.373 5.949 0.351
0.059 7.402 7.215
4.596 2.603 9.502
5.881 0.841 5.517
3.177 0.791 5.973
1.796 2.389 4.974
7.095 0.698 3.426
4.771 1.029 3.304
2.176 2.046 1.992
3.518 7.639 1.899
6.943 4.751 9.228
1.273 7.259 5.124
2.304 7.021 10.440
1.019 5.260 6.455
5.960 0.792 8.619
1.194 7.308 2.022
3.366 3.112 6.729
6.135 2.840 4.186
0.211 3.349 1.413
6.754 7.071 9.984
5.753 6.291 3.333
1.401 1.809 7.308
4.978 6.054 8.649
3.788 4.988 3.912
3.636 0.461 8.742
4.850 1.078 0.201
4.781 7.777 6.931
2.373 0.323 3.710
1.204 0.086 9.026
5.950 8.014 1.615
```

# 9
A relaxed KNdS2O8 crystal, computed with PBEsol.

relative energy among the computed polymorphs: 6 meV/atom
SG: No. 2
ΔE_f (raw): -25.57 eV/f.u.

```
KNdS2O8
1.0
5.356 0.011 -0.015
-0.105 6.922 0.005
-0.414 -1.199 8.979
O K Nd S
16 2 2 4
Cartesian
1.429 2.315 3.378
4.174 3.674 1.743
1.027 0.004 2.868
3.413 2.818 8.307
2.075 0.258 8.053
1.913 0.634 5.046
4.965 1.141 4.440
2.763 5.476 0.917
1.425 2.916 0.663
-0.127 4.593 4.530
0.664 2.060 7.227
5.179 5.544 0.655
-0.341 0.190 8.315
3.811 5.730 6.103
3.409 3.420 5.592
2.925 5.101 3.924
3.798 1.018 1.640
1.040 4.717 7.330
1.137 4.497 2.491
3.701 1.237 6.479
0.858 1.075 8.333
3.980 4.659 0.637
1.004 1.017 3.955
3.834 4.717 5.015
```

# 10
A relaxed KNdSe2O8 crystal, computed with PBEsol.

SG: No. 14
ΔE_f (raw): -18.71 eV/f.u.

```
KNdSe2O8
1.0
7.329 0.000 0.000
0.000 8.783 0.022
0.000 -0.303 11.020
Nd Se O K
4 8 32 4
Cartesian
4.873 0.389 3.831
2.456 8.091 7.210
6.121 0.238 9.341
1.208 8.242 1.700
6.168 2.438 0.984
6.139 6.938 6.715
1.161 6.042 10.058
2.475 1.390 9.837
4.855 7.090 1.205
4.826 2.287 6.494
2.503 6.194 4.548
1.190 1.542 4.327
5.537 2.538 5.001
0.033 7.678 7.622
3.632 7.830 2.112
1.199 0.885 5.846
5.457 2.387 10.511
1.095 3.169 4.402
4.760 5.463 1.130
4.864 7.444 10.706
6.161 7.549 2.184
2.570 3.017 9.912
3.529 5.047 4.014
4.833 7.398 7.694
3.697 0.651 8.930
2.497 1.082 3.348
6.130 7.595 5.196
6.234 5.312 6.640
2.466 1.036 0.336
4.972 2.111 2.105
3.322 7.621 4.942
7.194 3.585 1.518
6.022 1.959 7.615
1.873 6.093 0.531
1.168 0.931 8.858
0.135 4.895 9.524
7.297 0.802 3.420
0.343 7.470 10.452
4.007 0.859 6.100
6.987 1.010 0.590
3.800 3.434 7.028
2.358 6.369 8.937
1.792 5.942 6.041
1.307 6.521 3.427
1.055 3.605 7.263
4.719 4.724 9.289
6.275 4.875 3.779
2.610 3.756 1.753
```

# 11
A relaxed KNd9Si6O26 crystal, computed with PBEsol.

SG: No. 143
ΔE_f (raw): -135.83 eV/f.u.

```
KNd9Si6O26
1.0
-1.379 5.679 4.017
-6.596 2.832 -6.269
-2.440 -5.708 7.233
O Nd Si K
26 9 6 1
Cartesian
-3.637 0.958 6.736
-6.365 0.818 5.997
-3.549 2.706 1.939
-7.224 3.296 -3.812
-3.206 -0.513 2.638
-6.417 6.859 -0.361
-5.957 4.817 -1.872
-4.218 -0.773 8.710
-4.558 2.350 4.451
-8.433 1.938 1.348
-6.224 4.158 1.182
-1.713 1.927 0.016
-3.415 -2.272 5.054
-5.850 -1.697 3.404
-1.198 -2.060 3.267
-5.243 -4.119 4.789
-4.119 4.756 3.402
-1.834 -0.011 4.808
-2.004 3.077 4.026
-8.909 4.047 2.760
-5.758 -1.923 6.164
-5.287 -1.362 0.876
-7.795 -0.736 1.694
-8.248 1.449 4.184
-5.548 1.376 -0.785
-5.675 0.730 2.442
-4.121 4.944 0.916
-7.681 0.609 -0.479
-5.063 2.723 -2.569
-4.505 -0.059 4.713
-6.725 2.863 2.965
-3.886 0.734 0.648
-5.196 2.785 6.725
-7.866 4.836 -0.216
-0.685 2.822 1.996
-3.048 0.135 8.038
-7.957 0.678 5.586
-3.535 3.227 3.499
-4.603 -3.063 5.879
-1.671 -0.483 3.237
-6.235 -0.780 2.090
-1.374 5.657 4.001
```

# 12
A relaxed K2Nd2Ti3O10 crystal, computed with PBEsol.

SG: No. 42
ΔE_f (raw): -51.39 eV/f.u.

```
K2Nd2Ti3O10
1.0
-1.282 1.109 3.461
3.151 -1.499 1.635
6.009 13.089 -4.108
O Ti Nd K
10 3 2 2
Cartesian
7.073 10.979 1.151
2.779 5.127 -0.627
0.437 0.265 4.133
1.110 3.790 1.327
4.569 10.203 0.567
0.989 1.612 -0.240
6.780 8.900 -0.362
3.332 2.485 0.430
5.127 7.556 1.603
-0.442 0.448 1.735
-1.249 1.090 3.447
5.940 9.101 1.423
1.937 3.598 -0.435
1.858 1.701 2.354
5.872 11.085 -1.306
3.828 5.157 1.896
4.068 7.532 -0.916
```

| no. | volume (Å³/atom) | total DFT energy (no corrections) (eV per atom) |
| --- | --- | --- |
| 1 | 34.2 | -2.724 |
| 2 | 60.1 | -1.805 |
| 3 | 30.1 | -3.559 |
| 4 | 25.5 | -6.736 |
| 5 | 14.1 | -7.429 |
| 6 | 13.8 | -7.608 |
| 7 | 13.7 | -7.606 |
| 8 | 13.6 | -6.892 |
| 9 | 13.9 | -6.886 |
| 10 | 14.8 | -6.225 |
| 11 | 13.3 | -8.439 |
| 12 | 12.9 | -8.321 |